[1]
A crystal of KIn2Cu relaxed with PBEsol, computed with meta-GGA SCAN.

Summary:
Formation energy from the elements in meV per atom: 157.2
Spin magnetization in μB/cell: 0.00

abc: 4.8714 5.2722 5.2722
angles: 63.82 62.48 62.48
Fractional positions:
In: 0.7119 0.7881 0.7881
In: 0.9577 0.0423 0.0423
K: 0.4979 0.5021 0.5021
Cu: 0.3325 0.1675 0.1675

=====

[2]
A crystal of TlCrPb2 relaxed with PBEsol, computed with meta-GGA SCAN.

Summary:
Formation energy from the elements in meV per atom: 208.6
Spin magnetization in μB/cell: 4.38
Excess energy over the best structure of this formula in the dataset in eV/atom: 0.000

abc: 3.4132 3.4132 8.4549
angles: 90.00 90.00 90.00
Last column: magnetic moment on the atom in μB.
Fractional positions:
Pb: 0.5000 0.5000 0.2611  0.03
Pb: 0.0000 0.0000 0.9581  -0.03
Tl: 0.0000 0.0000 0.5391  0.01
Cr: 0.5000 0.5000 0.7417  3.97

=====

[3]
A crystal of SnCF2 relaxed with PBEsol, computed with meta-GGA SCAN.

Summary:
E_form (uncorrected) in eV/atom: 0.5080
Spin magnetization in μB/cell: 0.84

abc: 3.2822 3.2822 6.7376
angles: 75.90 75.90 60.00
Last column: magnetic moment on the atom in μB.
Fractional positions:
F: 0.8808 0.8808 0.3577  0.02
F: 0.1192 0.1192 0.6423  0.02
Sn: 0.0000 0.0000 0.0000  0.01
C: 0.5000 0.5000 0.5000  0.46

=====

[4]
A crystal of Fe3Co4 relaxed with PBEsol, computed with meta-GGA SCAN.

Summary:
Formation energy from the elements in meV per atom: -123.5
Spin magnetization in μB/cell: 15.68
Excess energy over the best structure of this formula in the dataset in eV/atom: 0.081

abc: 3.9422 3.9422 6.0707
angles: 71.05 71.05 60.00
Last column: magnetic moment on the atom in μB.
Fractional positions:
Fe: 0.2867 0.2867 0.1398  2.73
Fe: 0.5715 0.5715 0.2855  2.83
Fe: 0.1423 0.1423 0.5731  2.88
Co: 0.4292 0.4292 0.7123  1.82
Co: 0.8565 0.8565 0.4305  1.83
Co: 0.0011 0.0011 0.9966  1.90
Co: 0.7126 0.7126 0.8621  1.93

=====

Copy entry 1 word for word.
A crystal of KIn2Cu relaxed with PBEsol, computed with meta-GGA SCAN.

Summary:
Formation energy from the elements in meV per atom: 157.2
Spin magnetization in μB/cell: 0.00

abc: 4.8714 5.2722 5.2722
angles: 63.82 62.48 62.48
Fractional positions:
In: 0.7119 0.7881 0.7881
In: 0.9577 0.0423 0.0423
K: 0.4979 0.5021 0.5021
Cu: 0.3325 0.1675 0.1675